A relaxed structure of YBeAg2. Source: Alexandria via LeMat-Bulk, functional PBE.

Values from the calculation:
ΔE_f, meV/atom: 21

```
data_YBeAg2
_chemical_formula_sum 'Y1 Be1 Ag2'
_cell_length_a 3.272
_cell_length_b 3.272
_cell_length_c 6.944
_cell_angle_alpha 90.00
_cell_angle_beta 90.00
_cell_angle_gamma 90.00
_space_group_name_H-M_alt 'P 4 m m'
_space_group_IT_number 99
_space_group_name_Hall 'P 4 -2'
loop_
_atom_site_label
_atom_site_type_symbol
_atom_site_fract_x
_atom_site_fract_y
_atom_site_fract_z
Y1 Y 0.000 0.000 0.000
Be1 Be 0.500 0.500 0.714
Ag1 Ag 0.000 0.000 0.563
Ag2 Ag 0.500 0.500 0.309
```

=====

A relaxed structure of TbY2Si6. Source: Alexandria via LeMat-Bulk, functional PBE.

Values from the calculation:
E, eV/atom: -6.103

```
data_TbY2Si6
_chemical_formula_sum 'Tb1 Y2 Si6'
_cell_length_a 7.1013
_cell_length_b 7.1013
_cell_length_c 3.9623
_cell_angle_alpha 90.00
_cell_angle_beta 90.00
_cell_angle_gamma 120.00
_space_group_name_H-M_alt 'P 6/m m m'
_space_group_IT_number 191
_space_group_name_Hall '-P 6 2'
loop_
_atom_site_label
_atom_site_type_symbol
_atom_site_fract_x
_atom_site_fract_y
_atom_site_fract_z
Tb1 Tb 0.0000 0.0000 0.0000
Y1 Y 0.3333 0.6667 0.0000
Si1 Si 0.0000 0.3335 0.5000
```

=====

A relaxed structure of Pr2TlAu. Source: Alexandria via LeMat-Bulk, functional PBE.

Values from the calculation:
ΔE_f, meV/atom: -424

```
data_Pr2TlAu
_chemical_formula_sum 'Pr6 Tl3 Au3'
_cell_length_a 4.0900
_cell_length_b 4.0900
_cell_length_c 26.2594
_cell_angle_alpha 90.00
_cell_angle_beta 90.00
_cell_angle_gamma 120.00
_space_group_name_H-M_alt 'R -3 m'
_space_group_IT_number 166
_space_group_name_Hall '-R 3 2"'
loop_
_atom_site_label
_atom_site_type_symbol
_atom_site_fract_x
_atom_site_fract_y
_atom_site_fract_z
Pr1 Pr 0.0000 0.0000 0.2409
Tl1 Tl 0.0000 0.0000 0.0000
Au1 Au 0.0000 0.0000 0.5000
```

=====

| no. | volume (Å³/atom) |
| --- | --- |
| 1 | 18.58 |
| 2 | 19.23 |
| 3 | 31.70 |